Entry 1:
VASP calculation (PBE) on a geometry-optimized NiPW2 structure.

Properties
formation enthalpy at 0 K	0.84	eV per formula unit
D(E_F)	1.016	states/eV/atom
total magnetic moment	0.00	μB per formula unit
total energy	-36.262	eV/cell

```
NiPW2
1.0
-1.856 1.856 4.013
1.856 -1.856 4.013
1.856 1.856 -4.013
Ni W P
1 2 1
direct
0.500 0.500 0.000
0.250 0.750 0.500
0.000 0.000 0.000
0.750 0.250 0.500
```

=====

Entry 2:
VASP calculation (PBE) on a geometry-optimized Tl2IrW structure.

Properties
formation enthalpy at 0 K	4.21	eV per formula unit
D(E_F)	0.795	states/eV/atom
total magnetic moment	1.07	μB per formula unit
total energy	-22.332	eV/cell

```
Tl2IrW
1.0
-0.226 3.126 3.640
-4.102 0.557 2.436
-0.346 -1.595 4.518
Ir Tl W
1 2 1
direct
0.500 0.500 0.500
0.250 0.250 0.250
0.000 0.000 0.000
0.750 0.750 0.750
```

=====

Question: Which of these has the highest formation enthalpy at 0 K?
Answer: Tl2IrW